1.
Below is an optimized crystal structure of Y2ZrCu2, with properties calculated at the PBE level.

Cell and atoms, written as extended XYZ:
```
10
Lattice="8.1118 0.0000 0.0000 0.0000 8.1118 0.0000 0.0000 0.0000 3.3112" Properties=species:S:1:pos:R:3 pbc="T T T"
Y 2.8490 6.9049 0.0000
Cu 1.2011 5.2570 1.6556
Y 6.9049 5.2628 0.0000
Y 1.2069 2.8490 0.0000
Y 5.2628 1.2069 0.0000
Cu 6.9107 2.8548 1.6556
Cu 5.2570 6.9107 1.6556
Cu 2.8548 1.2011 1.6556
Zr 4.0559 4.0559 0.0000
Zr 0.0000 0.0000 0.0000
```

***

2.
Below is an optimized crystal structure of YZr2Cu2, with properties calculated at the PBE level.

Cell and atoms, written as extended XYZ:
```
5
Lattice="4.6572 0.0000 0.0000 0.0000 4.6572 0.0000 2.3286 2.3286 5.2229" Properties=species:S:1:pos:R:3 pbc="T T T"
Cu 4.6572 2.3286 2.6115
Cu 2.3286 4.6572 2.6115
Y 0.0000 0.0000 0.0000
Zr 4.6572 4.6572 3.7222
Zr 2.3286 2.3286 1.5007
```

***

3.
Below is an optimized crystal structure of YZrCu, with properties calculated at the PBE level.

Cell and atoms, written as extended XYZ:
```
12
Lattice="8.2237 0.0000 0.0000 0.0000 6.7118 0.0000 0.0000 0.0000 4.7529" Properties=species:S:1:pos:R:3 pbc="T T T"
Cu 6.8471 5.0338 2.3763
Y 0.0000 3.3559 0.0000
Cu 2.7352 5.0338 0.0001
Y 4.1119 0.0000 2.3764
Y 0.0000 0.0000 0.0000
Zr 1.3665 5.0338 2.3765
Cu 5.4885 1.6779 4.7528
Zr 6.8572 1.6779 2.3764
Zr 2.7453 1.6779 0.0001
Zr 5.4784 5.0338 4.7528
Cu 1.3766 1.6779 2.3766
Y 4.1119 3.3559 2.3764
```

***

4.
Below is an optimized crystal structure of YZr2Cu, with properties calculated at the PBE level.

Cell and atoms, written as extended XYZ:
```
4
Lattice="-3.2475 3.4663 -2.1061 -2.4731 -1.2489 1.7579 0.4580 3.0569 4.3250" Properties=species:S:1:pos:R:3 pbc="T T T"
Zr -0.1732 -0.0341 0.2110
Cu -2.1275 2.1851 0.4677
Y -3.1351 3.0891 3.5091
Zr -0.8344 0.9381 2.8304
```

***

Values of energy above the lowest structure with this stoichiometry, in order: 176; 276; 193; 209, all in meV per atom.
Values of E_tot, in order: -58.41; -30.56; -75.63; -27.08, all in eV per cell.
Values of energy of formation, in order: 93; 239; 67; 143, all in meV/atom.